Entry 1:
Density functional theory data (PBE-GGA) for crystalline PN at its relaxed geometry.

```
data_PN
_chemical_formula_sum 'P6 N6'
_cell_length_a 7.898
_cell_length_b 7.898
_cell_length_c 5.369
_cell_angle_alpha 90.00
_cell_angle_beta 90.00
_cell_angle_gamma 120.00
_space_group_name_H-M_alt 'P 1'
_space_group_IT_number 1
loop_
_space_group_symop_operation_xyz
'x,y,z'
loop_
_atom_site_label
_atom_site_fract_x
_atom_site_fract_y
_atom_site_fract_z
P1 0.139 0.706 0.250
P2 0.294 0.434 0.250
P3 0.434 0.139 0.750
P4 0.566 0.861 0.250
P5 0.706 0.566 0.750
P6 0.861 0.294 0.750
N1 0.121 0.489 0.250
N2 0.368 0.879 0.250
N3 0.489 0.368 0.750
N4 0.511 0.632 0.250
N5 0.632 0.121 0.750
N6 0.879 0.511 0.750
```

Values from the calculation:
- SG = No. 176
- E (eV per atom) = -6.603

Entry 2:
Density functional theory data (PBE-GGA) for crystalline P3N at its relaxed geometry.

```
data_P3N
_chemical_formula_sum 'P3 N1'
_cell_length_a 2.674
_cell_length_b 5.854
_cell_length_c 6.005
_cell_angle_alpha 61.33
_cell_angle_beta 79.57
_cell_angle_gamma 78.54
_space_group_name_H-M_alt 'P 1'
_space_group_IT_number 1
loop_
_space_group_symop_operation_xyz
'x,y,z'
loop_
_atom_site_label
_atom_site_fract_x
_atom_site_fract_y
_atom_site_fract_z
P1 0.000 0.000 0.000
P2 0.086 0.191 0.583
P3 0.189 0.762 0.790
N1 0.582 0.341 0.432
```

Values from the calculation:
- SG = No. 1
- density of states at the Fermi level (states/eV/f.u.) = 1.00
- E (eV per atom) = -5.932

Entry 3:
Density functional theory data (PBE-GGA) for crystalline P3N at its relaxed geometry.

```
data_P3N
_chemical_formula_sum 'P3 N1'
_cell_length_a 4.499
_cell_length_b 2.648
_cell_length_c 5.545
_cell_angle_alpha 90.00
_cell_angle_beta 105.34
_cell_angle_gamma 90.00
_space_group_name_H-M_alt 'P 1'
_space_group_IT_number 1
loop_
_space_group_symop_operation_xyz
'x,y,z'
loop_
_atom_site_label
_atom_site_fract_x
_atom_site_fract_y
_atom_site_fract_z
P1 0.000 0.000 0.000
P2 0.008 0.000 0.605
P3 0.541 0.000 0.306
N1 0.668 0.000 0.058
```

Values from the calculation:
- SG = No. 6
- density of states at the Fermi level (states/eV/f.u.) = 1.17
- E (eV per atom) = -5.797

Entry 4:
Density functional theory data (PBE-GGA) for crystalline PN at its relaxed geometry.

```
data_PN
_chemical_formula_sum 'P8 N8'
_cell_length_a 9.343
_cell_length_b 9.343
_cell_length_c 2.686
_cell_angle_alpha 90.00
_cell_angle_beta 90.00
_cell_angle_gamma 90.00
_space_group_name_H-M_alt 'P 1'
_space_group_IT_number 1
loop_
_space_group_symop_operation_xyz
'x,y,z'
loop_
_atom_site_label
_atom_site_fract_x
_atom_site_fract_y
_atom_site_fract_z
P1 0.009 0.209 0.000
P2 0.209 0.991 0.000
P3 0.285 0.712 0.500
P4 0.288 0.285 0.500
P5 0.712 0.715 0.500
P6 0.715 0.288 0.500
P7 0.791 0.009 0.000
P8 0.991 0.791 0.000
N1 0.082 0.720 0.500
N2 0.176 0.317 0.000
N3 0.280 0.082 0.500
N4 0.317 0.824 0.000
N5 0.683 0.176 0.000
N6 0.720 0.918 0.500
N7 0.824 0.683 0.000
N8 0.918 0.280 0.500
```

Values from the calculation:
- SG = No. 83
- density of states at the Fermi level (states/eV/f.u.) = 0.02
- E (eV per atom) = -6.769

Entry 5:
Density functional theory data (PBE-GGA) for crystalline PN at its relaxed geometry.

```
data_PN
_chemical_formula_sum 'P4 N4'
_cell_length_a 7.197
_cell_length_b 6.394
_cell_length_c 4.592
_cell_angle_alpha 80.02
_cell_angle_beta 61.05
_cell_angle_gamma 38.94
_space_group_name_H-M_alt 'P 1'
_space_group_IT_number 1
loop_
_space_group_symop_operation_xyz
'x,y,z'
loop_
_atom_site_label
_atom_site_fract_x
_atom_site_fract_y
_atom_site_fract_z
P1 0.049 0.049 0.701
P2 0.299 0.299 0.951
P3 0.701 0.701 0.049
P4 0.951 0.951 0.299
N1 0.211 0.539 0.211
N2 0.461 0.789 0.461
N3 0.539 0.211 0.539
N4 0.789 0.461 0.789
```

Values from the calculation:
- SG = No. 70
- density of states at the Fermi level (states/eV/f.u.) = 0.27
- E (eV per atom) = -6.657

Entry 6:
Density functional theory data (PBE-GGA) for crystalline P3N at its relaxed geometry.

```
data_P3N
_chemical_formula_sum 'P6 N2'
_cell_length_a 10.755
_cell_length_b 3.016
_cell_length_c 4.415
_cell_angle_alpha 90.00
_cell_angle_beta 92.48
_cell_angle_gamma 90.00
_space_group_name_H-M_alt 'P 1'
_space_group_IT_number 1
loop_
_space_group_symop_operation_xyz
'x,y,z'
loop_
_atom_site_label
_atom_site_fract_x
_atom_site_fract_y
_atom_site_fract_z
P1 0.000 0.000 0.000
P2 0.004 0.500 0.656
P3 0.316 0.000 0.385
P4 0.500 0.500 0.000
P5 0.504 0.000 0.656
P6 0.816 0.500 0.385
N1 0.352 0.500 0.171
N2 0.852 0.000 0.171
```

Values from the calculation:
- SG = No. 8
- E (eV per atom) = -5.917

Entry 7:
Density functional theory data (PBE-GGA) for crystalline PN at its relaxed geometry.

```
data_PN
_chemical_formula_sum 'P6 N6'
_cell_length_a 2.696
_cell_length_b 13.259
_cell_length_c 4.920
_cell_angle_alpha 90.00
_cell_angle_beta 90.00
_cell_angle_gamma 90.00
_space_group_name_H-M_alt 'P 1'
_space_group_IT_number 1
loop_
_space_group_symop_operation_xyz
'x,y,z'
loop_
_atom_site_label
_atom_site_fract_x
_atom_site_fract_y
_atom_site_fract_z
P1 0.250 0.072 0.112
P2 0.250 0.428 0.112
P3 0.250 0.750 0.202
P4 0.750 0.250 0.798
P5 0.750 0.572 0.888
P6 0.750 0.928 0.888
N1 0.250 0.250 0.625
N2 0.250 0.647 0.996
N3 0.250 0.853 0.996
N4 0.750 0.147 0.004
N5 0.750 0.353 0.004
N6 0.750 0.750 0.375
```

Values from the calculation:
- SG = No. 59
- density of states at the Fermi level (states/eV/f.u.) = 0.77
- E (eV per atom) = -6.798

Entry 8:
Density functional theory data (PBE-GGA) for crystalline P3N at its relaxed geometry.

```
data_P3N
_chemical_formula_sum 'P3 N1'
_cell_length_a 4.425
_cell_length_b 3.012
_cell_length_c 5.980
_cell_angle_alpha 90.00
_cell_angle_beta 108.64
_cell_angle_gamma 90.00
_space_group_name_H-M_alt 'P 1'
_space_group_IT_number 1
loop_
_space_group_symop_operation_xyz
'x,y,z'
loop_
_atom_site_label
_atom_site_fract_x
_atom_site_fract_y
_atom_site_fract_z
P1 0.000 0.000 0.000
P2 0.253 0.500 0.653
P3 0.594 0.000 0.645
N1 0.189 0.500 0.934
```

Values from the calculation:
- SG = No. 6
- E (eV per atom) = -5.915

Entry 9:
Density functional theory data (PBE-GGA) for crystalline P3N at its relaxed geometry.

```
data_P3N
_chemical_formula_sum 'P6 N2'
_cell_length_a 14.808
_cell_length_b 3.390
_cell_length_c 2.651
_cell_angle_alpha 90.00
_cell_angle_beta 91.39
_cell_angle_gamma 90.00
_space_group_name_H-M_alt 'P 1'
_space_group_IT_number 1
loop_
_space_group_symop_operation_xyz
'x,y,z'
loop_
_atom_site_label
_atom_site_fract_x
_atom_site_fract_y
_atom_site_fract_z
P1 0.000 0.000 0.000
P2 0.103 0.500 0.014
P3 0.225 0.000 0.031
P4 0.500 0.500 0.000
P5 0.603 0.000 0.014
P6 0.725 0.500 0.031
N1 0.288 0.000 0.539
N2 0.788 0.500 0.539
```

Values from the calculation:
- SG = No. 8
- density of states at the Fermi level (states/eV/f.u.) = 1.69
- E (eV per atom) = -5.911

Entry 10:
Density functional theory data (PBE-GGA) for crystalline PN at its relaxed geometry.

```
data_PN
_chemical_formula_sum 'P6 N6'
_cell_length_a 5.698
_cell_length_b 5.698
_cell_length_c 5.698
_cell_angle_alpha 90.00
_cell_angle_beta 90.00
_cell_angle_gamma 90.00
_space_group_name_H-M_alt 'P 1'
_space_group_IT_number 1
loop_
_space_group_symop_operation_xyz
'x,y,z'
loop_
_atom_site_label
_atom_site_fract_x
_atom_site_fract_y
_atom_site_fract_z
P1 0.000 0.250 0.500
P2 0.000 0.750 0.500
P3 0.250 0.500 0.000
P4 0.500 0.000 0.250
P5 0.500 0.000 0.750
P6 0.750 0.500 0.000
N1 0.000 0.500 0.250
N2 0.000 0.500 0.750
N3 0.250 0.000 0.500
N4 0.500 0.250 0.000
N5 0.500 0.750 0.000
N6 0.750 0.000 0.500
```

Values from the calculation:
- SG = No. 223
- density of states at the Fermi level (states/eV/f.u.) = 1.19
- E (eV per atom) = -5.646

Respective relative energy among the computed polymorphs values: 0.57, 0.01, 0.55, 0.23, 0.46, 0.07, 0.18, 0.08, 0.09, 2.48 eV per formula unit.
Respective ΔE_f (raw) values: 265, 206, 342, 99, 211, 222, 70, 224, 228, 1221 meV per atom.
Respective size of the total moment values: 0.0000, 0.0000, 0.0000, 0.0000, 0.0000, 0.0000, 0.0001, 0.0000, 0.0000, 0.0000 μB per atom.